Entry 1:
An optimized crystal structure of Nb4TcRu3. Source: Alexandria via LeMat-Bulk, functional PBE.

Results
* DFT formation energy: -224 meV per atom
* uncorrected energy: -10.03 eV per atom

Unit cell a=3.1126 b=3.1126 c=13.3417 alpha=90.00 beta=90.00 gamma=90.00
Space group P4/mmm (No. 123)
Symmetry-distinct sites (fractional):
Nb1 0.0000 0.0000 0.1205 (multiplicity 2)
Nb2 0.0000 0.0000 0.3734 (multiplicity 2)
Tc1 0.5000 0.5000 0.0000 (multiplicity 1)
Ru1 0.5000 0.5000 0.2444 (multiplicity 2)
Ru2 0.5000 0.5000 0.5000 (multiplicity 1)

Entry 2:
An optimized crystal structure of Nb6TcRu2. Source: Alexandria via LeMat-Bulk, functional PBE.

Results
* DFT formation energy: 274 meV per atom
* uncorrected energy: -9.65 eV per atom

Unit cell a=4.4020 b=6.1608 c=13.0435 alpha=90.00 beta=90.00 gamma=90.00
Space group Immm (No. 71)
Symmetry-distinct sites (fractional):
Nb1 0.0000 0.2491 0.0000 (multiplicity 4)
Nb2 0.0000 0.2501 0.3338 (multiplicity 8)
Tc1 0.0000 0.5000 0.5000 (multiplicity 2)
Ru1 0.0000 0.5000 0.1674 (multiplicity 4)

Entry 3:
An optimized crystal structure of Nb6TcRu3. Source: Alexandria via LeMat-Bulk, functional PBE.

Results
* DFT formation energy: -39 meV per atom
* energy above the lowest structure with this stoichiometry: 218 meV/atom
* uncorrected energy: -9.90 eV per atom

Unit cell a=9.0863 b=5.3977 c=7.3037 alpha=90.00 beta=108.36 gamma=90.00
Space group C2/m (No. 12)
Symmetry-distinct sites (fractional):
Nb1 0.1499 0.0000 0.4193 (multiplicity 4)
Nb2 0.1619 0.2510 0.8021 (multiplicity 8)
Tc1 0.0000 0.5000 0.5000 (multiplicity 2)
Ru1 0.0000 0.0000 0.0000 (multiplicity 2)
Ru2 0.0922 0.5000 0.1750 (multiplicity 4)

Entry 4:
An optimized crystal structure of NbTcRu. Source: Alexandria via LeMat-Bulk, functional PBE.

Results
* DFT formation energy: 31 meV per atom
* uncorrected energy: -9.87 eV per atom

Unit cell a=3.1743 b=3.1743 c=9.3969 alpha=90.00 beta=90.00 gamma=90.00
Space group I4mm (No. 107)
Symmetry-distinct sites (fractional):
Nb1 0.0000 0.0000 0.0000 (multiplicity 2)
Tc1 0.0000 0.0000 0.3435 (multiplicity 2)
Ru1 0.0000 0.0000 0.6623 (multiplicity 2)

Entry 5:
An optimized crystal structure of Nb6TcRu3. Source: Alexandria via LeMat-Bulk, functional PBE.

Results
* DFT formation energy: -256 meV per atom
* energy above the lowest structure with this stoichiometry: 0 meV/atom
* uncorrected energy: -10.12 eV per atom

Unit cell a=7.8424 b=4.5318 c=9.6317 alpha=90.00 beta=105.86 gamma=90.00
Space group P2_1/m (No. 11)
Symmetry-distinct sites (fractional):
Nb1 0.0503 0.2500 0.3980 (multiplicity 2)
Nb2 0.1471 0.7500 0.1969 (multiplicity 2)
Nb3 0.1519 0.2500 0.6988 (multiplicity 2)
Nb4 0.2462 0.2500 0.9984 (multiplicity 2)
Nb5 0.3485 0.7500 0.8011 (multiplicity 2)
Nb6 0.4503 0.2500 0.6007 (multiplicity 2)
Tc1 0.0479 0.7500 0.9002 (multiplicity 2)
Ru1 0.2569 0.7500 0.4978 (multiplicity 2)
Ru2 0.3530 0.2500 0.2993 (multiplicity 2)
Ru3 0.4479 0.7500 0.1008 (multiplicity 2)

Entry 6:
An optimized crystal structure of Nb6TcRu5. Source: Alexandria via LeMat-Bulk, functional PBE.

Results
* DFT formation energy: -241 meV per atom
* uncorrected energy: -10.00 eV per atom

Unit cell a=4.5639 b=6.1959 c=7.0725 alpha=90.00 beta=104.53 gamma=90.00
Space group P2/m (No. 10)
Symmetry-distinct sites (fractional):
Nb1 0.0000 0.2485 0.0000 (multiplicity 2)
Nb2 0.3596 0.2492 0.6568 (multiplicity 4)
Tc1 0.5000 0.0000 0.0000 (multiplicity 1)
Ru1 0.1209 0.0000 0.3171 (multiplicity 2)
Ru2 0.1207 0.5000 0.3154 (multiplicity 2)
Ru3 0.5000 0.5000 0.0000 (multiplicity 1)

Entry 7:
An optimized crystal structure of Nb4Tc3Ru. Source: Alexandria via LeMat-Bulk, functional PBE.

Results
* DFT formation energy: -317 meV per atom
* uncorrected energy: -10.40 eV per atom

Unit cell a=3.1908 b=4.5122 c=9.0157 alpha=90.00 beta=90.00 gamma=90.00
Space group Pmmm (No. 47)
Symmetry-distinct sites (fractional):
Nb1 0.0000 0.0000 0.0000 (multiplicity 1)
Nb2 0.0000 0.0000 0.5000 (multiplicity 1)
Nb3 0.0000 0.5000 0.2472 (multiplicity 2)
Tc1 0.5000 0.0000 0.2523 (multiplicity 2)
Tc2 0.5000 0.5000 0.0000 (multiplicity 1)
Ru1 0.5000 0.5000 0.5000 (multiplicity 1)

Entry 8:
An optimized crystal structure of Ti2NbTcRu. Source: Alexandria via LeMat-Bulk, functional PBE.

Results
* DFT formation energy: 914 meV per atom
* uncorrected energy: -8.19 eV per atom

Unit cell a=4.5144 b=4.5144 c=4.8742 alpha=90.00 beta=90.00 gamma=90.00
Space group P4/mmm (No. 123)
Symmetry-distinct sites (fractional):
Ti1 0.0000 0.5000 0.0000 (multiplicity 2)
Nb1 0.0000 0.0000 0.5000 (multiplicity 1)
Tc1 0.5000 0.5000 0.5000 (multiplicity 1)
Ru1 0.0000 0.0000 0.0000 (multiplicity 1)

Entry 9:
An optimized crystal structure of UNbTcRu. Source: Alexandria via LeMat-Bulk, functional PBE.

Results
* DFT formation energy: -95 meV per atom
* uncorrected energy: -10.35 eV per atom

Unit cell a=6.5563 b=6.5563 c=6.5563 alpha=90.00 beta=90.00 gamma=90.00
Space group F-43m (No. 216)
Symmetry-distinct sites (fractional):
U1 0.0000 0.0000 0.0000 (multiplicity 4)
Nb1 0.0000 0.0000 0.5000 (multiplicity 4)
Tc1 0.2500 0.2500 0.2500 (multiplicity 4)
Ru1 0.2500 0.2500 0.7500 (multiplicity 4)

Entry 10:
An optimized crystal structure of NbVTcRu2. Source: Alexandria via LeMat-Bulk, functional PBE.

Results
* DFT formation energy: 1717 meV per atom
* uncorrected energy: -7.90 eV per atom

Unit cell a=4.6315 b=4.6315 c=4.5666 alpha=90.00 beta=90.00 gamma=90.00
Space group P4/mmm (No. 123)
Symmetry-distinct sites (fractional):
Nb1 0.0000 0.0000 0.0000 (multiplicity 1)
V1 0.0000 0.0000 0.5000 (multiplicity 1)
Tc1 0.5000 0.5000 0.5000 (multiplicity 1)
Ru1 0.0000 0.5000 0.0000 (multiplicity 2)

Entry 11:
An optimized crystal structure of YNbTcRu. Source: Alexandria via LeMat-Bulk, functional PBE.

Results
* DFT formation energy: -158 meV per atom
* uncorrected energy: -9.20 eV per atom

Unit cell a=6.5737 b=6.5737 c=6.5737 alpha=90.00 beta=90.00 gamma=90.00
Space group F-43m (No. 216)
Symmetry-distinct sites (fractional):
Y1 0.0000 0.0000 0.0000 (multiplicity 4)
Nb1 0.0000 0.0000 0.5000 (multiplicity 4)
Tc1 0.2500 0.2500 0.7500 (multiplicity 4)
Ru1 0.2500 0.2500 0.2500 (multiplicity 4)

Entry 12:
An optimized crystal structure of NbTe3Ru. Source: Alexandria via LeMat-Bulk, functional PBE.

Results
* energy above the lowest structure with this stoichiometry: 1033 meV/atom
* uncorrected energy: -4.82 eV per atom
* formation energy (no corrections): 0.93 eV per atom

Unit cell a=5.0994 b=5.0994 c=5.0994 alpha=90.00 beta=90.00 gamma=90.00
Space group Pm-3m (No. 221)
Symmetry-distinct sites (fractional):
Nb1 0.0000 0.0000 0.0000 (multiplicity 1)
Te1 0.0000 0.5000 0.5000 (multiplicity 3)
Ru1 0.5000 0.5000 0.5000 (multiplicity 1)

Entry 13:
An optimized crystal structure of Nb2Te2Ru. Source: Alexandria via LeMat-Bulk, functional PBE.

Results
* energy above the lowest structure with this stoichiometry: 0 meV/atom
* uncorrected energy: -6.85 eV per atom
* formation energy (no corrections): 0.29 eV per atom

Unit cell a=7.3877 b=7.3877 c=3.7048 alpha=90.00 beta=90.00 gamma=90.00
Space group P4/mbm (No. 127)
Symmetry-distinct sites (fractional):
Nb1 0.1431 0.3569 0.0000 (multiplicity 4)
Te1 0.1563 0.6563 0.5000 (multiplicity 4)
Ru1 0.0000 0.0000 0.0000 (multiplicity 2)

Entry 14:
An optimized crystal structure of Nb2Te4Ru. Source: Alexandria via LeMat-Bulk, functional PBE.

Results
* uncorrected energy: -6.32 eV per atom
* formation energy (no corrections): -0.33 eV per atom

Unit cell a=14.2015 b=3.7549 c=6.7662 alpha=90.00 beta=116.05 gamma=90.00
Space group C2/m (No. 12)
Symmetry-distinct sites (fractional):
Nb1 0.2429 0.0000 0.1773 (multiplicity 4)
Te1 0.0943 0.5000 0.9378 (multiplicity 4)
Te2 0.1347 0.0000 0.4729 (multiplicity 4)
Ru1 0.0000 0.5000 0.5000 (multiplicity 2)

Entry 15:
An optimized crystal structure of NbTeRu2. Source: Alexandria via LeMat-Bulk, functional PBE.

Results
* uncorrected energy: -7.34 eV per atom
* formation energy (no corrections): 0.60 eV per atom

Unit cell a=5.6511 b=5.6511 c=12.1196 alpha=90.00 beta=90.00 gamma=90.00
Space group I-42d (No. 122)
Symmetry-distinct sites (fractional):
Nb1 0.0000 0.0000 0.0000 (multiplicity 4)
Te1 0.0000 0.0000 0.5000 (multiplicity 4)
Ru1 0.2357 0.2500 0.1250 (multiplicity 8)

Entry 16:
An optimized crystal structure of Nb2Te2Ru. Source: Alexandria via LeMat-Bulk, functional PBE.

Results
* energy above the lowest structure with this stoichiometry: 539 meV/atom
* uncorrected energy: -6.31 eV per atom
* formation energy (no corrections): 0.83 eV per atom

Unit cell a=4.0946 b=4.0946 c=13.3238 alpha=90.00 beta=90.00 gamma=90.00
Space group I4/mmm (No. 139)
Symmetry-distinct sites (fractional):
Nb1 0.0000 0.0000 0.0931 (multiplicity 4)
Te1 0.0000 0.5000 0.2500 (multiplicity 4)
Ru1 0.0000 0.0000 0.5000 (multiplicity 2)

Entry 17:
An optimized crystal structure of NbTeRu3. Source: Alexandria via LeMat-Bulk, functional PBE.

Results
* energy above the lowest structure with this stoichiometry: 163 meV/atom
* uncorrected energy: -6.62 eV per atom
* formation energy (no corrections): 1.59 eV per atom

Unit cell a=4.7085 b=4.7085 c=4.7085 alpha=90.00 beta=90.00 gamma=90.00
Space group Pm-3m (No. 221)
Symmetry-distinct sites (fractional):
Nb1 0.0000 0.0000 0.0000 (multiplicity 1)
Te1 0.5000 0.5000 0.5000 (multiplicity 1)
Ru1 0.0000 0.5000 0.5000 (multiplicity 3)

Entry 18:
An optimized crystal structure of NbTe3Ru. Source: Alexandria via LeMat-Bulk, functional PBE.

Results
* energy above the lowest structure with this stoichiometry: 0 meV/atom
* uncorrected energy: -5.85 eV per atom
* formation energy (no corrections): -0.10 eV per atom

Unit cell a=7.6608 b=3.4117 c=10.0889 alpha=90.00 beta=105.95 gamma=90.00
Space group P2_1/m (No. 11)
Symmetry-distinct sites (fractional):
Nb1 0.0268 0.2500 0.1264 (multiplicity 2)
Te1 0.1162 0.2500 0.7052 (multiplicity 2)
Te2 0.3045 0.7500 0.0832 (multiplicity 2)
Te3 0.3290 0.2500 0.3925 (multiplicity 2)
Ru1 0.4439 0.2500 0.6609 (multiplicity 2)

Entry 19:
An optimized crystal structure of NbTeRu3. Source: Alexandria via LeMat-Bulk, functional PBE.

Results
* energy above the lowest structure with this stoichiometry: 0 meV/atom
* uncorrected energy: -6.78 eV per atom
* formation energy (no corrections): 1.43 eV per atom

Unit cell a=4.7536 b=4.7536 c=4.7536 alpha=90.00 beta=90.00 gamma=90.00
Space group Pm-3m (No. 221)
Symmetry-distinct sites (fractional):
Nb1 0.0000 0.0000 0.0000 (multiplicity 1)
Te1 0.5000 0.5000 0.5000 (multiplicity 1)
Ru1 0.0000 0.0000 0.5000 (multiplicity 3)

Entry 20:
An optimized crystal structure of ThNbRu2. Source: Alexandria via LeMat-Bulk, functional PBE.

Results
* DFT formation energy: -260 meV per atom
* uncorrected energy: -9.27 eV per atom

Unit cell a=3.2086 b=3.2086 c=7.3515 alpha=90.00 beta=90.00 gamma=90.00
Space group P4/mmm (No. 123)
Symmetry-distinct sites (fractional):
Th1 0.0000 0.0000 0.0000 (multiplicity 1)
Nb1 0.0000 0.0000 0.5000 (multiplicity 1)
Ru1 0.5000 0.5000 0.2954 (multiplicity 2)

Entry 21:
An optimized crystal structure of ThNbRu. Source: Alexandria via LeMat-Bulk, functional PBE.

Results
* DFT formation energy: 186 meV per atom
* uncorrected energy: -8.74 eV per atom

Unit cell a=10.0645 b=3.2575 c=7.9490 alpha=90.00 beta=94.96 gamma=90.00
Space group C2/m (No. 12)
Symmetry-distinct sites (fractional):
Th1 0.1426 0.0000 0.1062 (multiplicity 4)
Nb1 0.0705 0.5000 0.6887 (multiplicity 4)
Ru1 0.1381 0.0000 0.4582 (multiplicity 4)

Entry 22:
An optimized crystal structure of ThNbRu4. Source: Alexandria via LeMat-Bulk, functional PBE.

Results
* DFT formation energy: -55 meV per atom
* uncorrected energy: -9.15 eV per atom

Unit cell a=7.4859 b=7.4859 c=7.4859 alpha=90.00 beta=90.00 gamma=90.00
Space group F-43m (No. 216)
Symmetry-distinct sites (fractional):
Th1 0.0000 0.0000 0.0000 (multiplicity 4)
Nb1 0.2500 0.2500 0.2500 (multiplicity 4)
Ru1 0.1248 0.1248 0.6248 (multiplicity 16)

Entry 23:
An optimized crystal structure of ThNbRu2. Source: Alexandria via LeMat-Bulk, functional PBE.

Results
* DFT formation energy: -198 meV per atom
* uncorrected energy: -9.21 eV per atom

Unit cell a=4.2551 b=4.2551 c=15.5784 alpha=90.00 beta=90.00 gamma=120.00
Space group R-3m (No. 166, hexagonal axes)
Symmetry-distinct sites (fractional):
Th1 0.0000 0.0000 0.0000 (multiplicity 3)
Nb1 0.0000 0.0000 0.5000 (multiplicity 3)
Ru1 0.0000 0.0000 0.2225 (multiplicity 6)

Entry 24:
An optimized crystal structure of Th2NbRu. Source: Alexandria via LeMat-Bulk, functional PBE.

Results
* DFT formation energy: 540 meV per atom
* uncorrected energy: -8.01 eV per atom

Unit cell a=3.2776 b=3.2776 c=31.0435 alpha=90.00 beta=90.00 gamma=120.00
Space group R-3m (No. 166, hexagonal axes)
Symmetry-distinct sites (fractional):
Th1 0.0000 0.0000 0.0938 (multiplicity 6)
Nb1 0.0000 0.0000 0.0000 (multiplicity 3)
Ru1 0.0000 0.0000 0.5000 (multiplicity 3)

Entry 25:
An optimized crystal structure of TiNb2Ru2. Source: Alexandria via LeMat-Bulk, functional PBE.

Results
* DFT formation energy: -25 meV per atom
* energy above the lowest structure with this stoichiometry: 198 meV/atom
* uncorrected energy: -9.34 eV per atom

Unit cell a=7.5699 b=7.5699 c=2.9705 alpha=90.00 beta=90.00 gamma=90.00
Space group P4/mbm (No. 127)
Symmetry-distinct sites (fractional):
Ti1 0.0000 0.0000 0.0000 (multiplicity 2)
Nb1 0.1510 0.3490 0.0000 (multiplicity 4)
Ru1 0.1493 0.6493 0.5000 (multiplicity 4)